## Ce2Pu5Ru4 (GGA-PBE)

Data for a relaxed structure of Ce2Pu5Ru4.

The space group is C2/m (No. 12) and the conventional cell measures 23.028, 3.096 and 6.599 Å, with angles of 90.00, 95.64 and 90.00 degrees. The asymmetric unit holds Ce at (0.194, 0.000, 0.338), Pu at (0.000, 0.500, 0.000), Pu at (0.039, 0.000, 0.679), Pu at (0.181, 0.000, 0.778), Ru at (0.086, 0.500, 0.406) and Ru at (0.112, 0.000, 0.061).

As for the formation energy from the elements: 129 meV/atom.



## K10Na4Pb (GGA-PBE)

Data for a relaxed structure of K10Na4Pb.

The space group is I4/m (No. 87) and the conventional cell measures 14.557, 14.557 and 9.179 Å, with angles of 90.00, 90.00 and 90.00 degrees. The asymmetric unit holds K at (0.000, 0.500, 0.250), K at (0.094, 0.816, 0.230), Na at (0.100, 0.299, 0.500) and Pb at (0.000, 0.000, 0.000).

As for the formation energy from the elements: 55 meV/atom.



## Y2MnSe (GGA-PBE)

Data for a relaxed structure of Y2MnSe.

The space group is I-42d (No. 122) and the conventional cell measures 7.363, 7.363 and 6.886 Å, with angles of 90.00, 90.00 and 90.00 degrees. The asymmetric unit holds Y at (0.230, 0.250, 0.125), Mn at (0.000, 0.000, 0.000) and Se at (0.000, 0.000, 0.500).

The formation energy from raw total energies comes out at 2 kJ/mol of atoms.



## BPIrRhAu (GGA-PBE)

Data for a relaxed structure of BPIrRhAu.

The space group is Pm (No. 6) and the conventional cell measures 4.077, 3.581 and 6.467 Å, with angles of 90.00, 107.65 and 90.00 degrees. The asymmetric unit holds B at (0.000, 0.000, 0.000), P at (0.679, 0.500, 0.371), Ir at (0.567, 0.000, 0.138), Rh at (0.090, 0.500, 0.185) and Au at (0.868, 0.500, 0.750).

As for the formation energy from the elements: -194 meV/atom. The energy above the most stable polymorph in this dataset comes out at 17 meV per atom.



## Rb2FeSBr6 (GGA-PBE)

Data for a relaxed structure of Rb2FeSBr6.

The space group is I4/mmm (No. 139) and the conventional cell measures 7.864, 7.864 and 10.614 Å, with angles of 90.00, 90.00 and 90.00 degrees. The asymmetric unit holds Rb at (0.000, 0.500, 0.250), Fe at (0.000, 0.000, 0.000), S at (0.000, 0.000, 0.500), Br at (0.000, 0.000, 0.265) and Br at (0.222, 0.222, 0.000).

The formation energy from raw total energies comes out at -71 kJ/mol of atoms.



## Tm4CoAg3 (GGA-PBE)

Data for a relaxed structure of Tm4CoAg3.

The space group is P4/mmm (No. 123) and the conventional cell measures 3.482, 3.482 and 14.353 Å, with angles of 90.00, 90.00 and 90.00 degrees. The asymmetric unit holds Tm at (0.000, 0.000, 0.111), Tm at (0.000, 0.000, 0.371), Co at (0.500, 0.500, 0.000), Ag at (0.500, 0.500, 0.242) and Ag at (0.500, 0.500, 0.500).

As for the formation energy from the elements: -304 meV/atom.



## Cs2CeF7 (GGA-PBE)

Data for a relaxed structure of Cs2CeF7.

The space group is Fm-3m (No. 225) and the conventional cell measures 9.754, 9.754 and 9.754 Å, with angles of 90.00, 90.00 and 90.00 degrees. The asymmetric unit holds Cs at (0.250, 0.250, 0.250), Ce at (0.000, 0.000, 0.000), F at (0.000, 0.000, 0.221) and F at (0.000, 0.000, 0.500).

The formation energy from raw total energies comes out at -281 kJ/mol of atoms.